Here is a relaxed structure of Nd2LuCl from the Alexandria database. Energies are from GGA-PBE.

ΔE_f (raw) (eV per atom): -0.65
Space group: R-3m (166)

Cell lengths 3.649, 3.649, 10.518 Å; angles 80.01, 80.01, 60.00 degrees
Fractional positions:
Cl (0.000, 0.000, 0.000)
Lu (0.500, 0.500, 0.500)
Nd (0.259, 0.259, 0.222)
Nd (0.741, 0.741, 0.778)